Here is a relaxed PSe2F crystal from Alexandria via LeMat-Bulk. Energies are from PBE.

Cell: 6.463 6.463 5.901 Å, 56.80 56.80 90.00°
Atoms (fractional coordinates):
P 0.000 0.000 0.000
P 0.750 0.250 0.500
Se 0.663 0.125 0.250
Se 0.087 0.625 0.250
Se 0.375 0.337 0.750
Se 0.875 0.913 0.750
F 0.500 0.500 0.000
F 0.250 0.750 0.500

Summary:
N(E_F), states/eV/f.u.: 0.0
Formation energy from raw total energies, kJ/mol of formula units: -99
Symmetry: No. 122
Total magnetization, Bohr magnetons per cell: 0.000
Total energy, eV per atom: -3.820
Polymorph energy (0 for the lowest one), eV per formula unit: 0.000


Here is a relaxed TiP2SeF crystal from Alexandria via LeMat-Bulk. Energies are from PBE.

Cell: 4.040 5.181 4.040 Å, 90.00 90.00 90.00°
Atoms (fractional coordinates):
P 0.000 0.000 0.500
P 0.500 0.000 0.000
F 0.000 0.000 0.000
Se 0.000 0.500 0.000
Ti 0.500 0.500 0.500

Summary:
N(E_F), states/eV/f.u.: 3.1
Formation energy from raw total energies, kJ/mol of formula units: 119
Symmetry: No. 123
Total magnetization, Bohr magnetons per cell: 0.002
Total energy, eV per atom: -4.567


Here is a relaxed Y2PSeF crystal from Alexandria via LeMat-Bulk. Energies are from PBE.

Cell: 5.065 4.073 5.065 Å, 90.00 90.00 90.00°
Atoms (fractional coordinates):
Y 0.000 0.000 0.500
Y 0.500 0.000 0.000
P 0.000 0.500 0.000
Se 0.500 0.500 0.500
F 0.000 0.000 0.000

Summary:
N(E_F), states/eV/f.u.: 3.8
Formation energy from raw total energies, kJ/mol of formula units: -498
Symmetry: No. 123
Total magnetization, Bohr magnetons per cell: 0.002
Total energy, eV per atom: -5.771


Here is a relaxed SiPF2 crystal from Alexandria via LeMat-Bulk. Energies are from PBE.

Cell: 10.048 10.048 10.048 Å, 15.06 15.06 15.06°
Atoms (fractional coordinates):
P 0.500 0.500 0.500
Si 0.000 0.000 0.000
F 0.945 0.945 0.945
F 0.055 0.055 0.055

Summary:
N(E_F), states/eV/f.u.: 1.6
Formation energy from raw total energies, kJ/mol of formula units: -452
Symmetry: No. 166
Total magnetization, Bohr magnetons per cell: 0.000
Total energy, eV per atom: -4.816
Polymorph energy (0 for the lowest one), eV per formula unit: 0.000


Here is a relaxed SiP2F4 crystal from Alexandria via LeMat-Bulk. Energies are from PBE.

Cell: 3.720 3.720 9.816 Å, 79.08 79.08 90.00°
Atoms (fractional coordinates):
P 0.641 0.641 0.718
P 0.359 0.359 0.282
Si 0.000 0.000 0.000
F 0.726 0.726 0.548
F 0.274 0.274 0.452
F 0.000 0.500 0.000
F 0.500 0.000 0.000

Summary:
N(E_F), states/eV/f.u.: 1.8
Formation energy from raw total energies, kJ/mol of formula units: -606
Symmetry: No. 139
Total magnetization, Bohr magnetons per cell: 0.000
Total energy, eV per atom: -4.287


Here is a relaxed SiPF2 crystal from Alexandria via LeMat-Bulk. Energies are from PBE.

Cell: 9.597 9.597 9.597 Å, 15.62 15.62 15.62°
Atoms (fractional coordinates):
P 0.000 0.000 0.000
Si 0.500 0.500 0.500
F 0.942 0.942 0.942
F 0.058 0.058 0.058

Summary:
N(E_F), states/eV/f.u.: 1.0
Formation energy from raw total energies, kJ/mol of formula units: -342
Symmetry: No. 166
Total magnetization, Bohr magnetons per cell: 0.000
Total energy, eV per atom: -4.530
Polymorph energy (0 for the lowest one), eV per formula unit: 1.144


Here is a relaxed SiP2F crystal from Alexandria via LeMat-Bulk. Energies are from PBE.

Cell: 4.163 4.163 4.163 Å, 60.00 60.00 60.00°
Atoms (fractional coordinates):
P 0.250 0.250 0.250
P 0.750 0.750 0.750
Si 0.500 0.500 0.500
F 0.000 0.000 0.000

Summary:
N(E_F), states/eV/f.u.: 1.4
Formation energy from raw total energies, kJ/mol of formula units: -21
Symmetry: No. 225
Total magnetization, Bohr magnetons per cell: 0.000
Total energy, eV per atom: -4.582
Polymorph energy (0 for the lowest one), eV per formula unit: 0.000


Here is a relaxed Si2PF crystal from Alexandria via LeMat-Bulk. Energies are from PBE.

Cell: 4.235 4.235 4.235 Å, 60.00 60.00 60.00°
Atoms (fractional coordinates):
P 0.500 0.500 0.500
Si 0.250 0.250 0.250
Si 0.750 0.750 0.750
F 0.000 0.000 0.000

Summary:
N(E_F), states/eV/f.u.: 1.4
Formation energy from raw total energies, kJ/mol of formula units: -62
Symmetry: No. 225
Total magnetization, Bohr magnetons per cell: 0.000
Total energy, eV per atom: -4.694
Polymorph energy (0 for the lowest one), eV per formula unit: 0.331


Here is a relaxed SiP3F crystal from Alexandria via LeMat-Bulk. Energies are from PBE.

Cell: 4.356 4.356 4.356 Å, 90.00 90.00 90.00°
Atoms (fractional coordinates):
P 0.000 0.500 0.000
P 0.000 0.000 0.500
P 0.500 0.000 0.000
Si 0.500 0.500 0.500
F 0.000 0.000 0.000

Summary:
N(E_F), states/eV/f.u.: 2.5
Formation energy from raw total energies, kJ/mol of formula units: 422
Symmetry: No. 221
Total magnetization, Bohr magnetons per cell: 0.000
Total energy, eV per atom: -3.830
Polymorph energy (0 for the lowest one), eV per formula unit: 1.440


Here is a relaxed Si2PF crystal from Alexandria via LeMat-Bulk. Energies are from PBE.

Cell: 7.853 7.853 5.926 Å, 48.51 48.51 90.00°
Atoms (fractional coordinates):
P 0.000 0.000 0.000
P 0.750 0.250 0.500
Si 0.707 0.125 0.250
Si 0.043 0.625 0.250
Si 0.375 0.293 0.750
Si 0.875 0.957 0.750
F 0.500 0.500 0.000
F 0.250 0.750 0.500

Summary:
N(E_F), states/eV/f.u.: 0.6
Formation energy from raw total energies, kJ/mol of formula units: -94
Symmetry: No. 122
Total magnetization, Bohr magnetons per cell: 0.000
Total energy, eV per atom: -4.776
Polymorph energy (0 for the lowest one), eV per formula unit: 0.000


Here is a relaxed SiPF2 crystal from Alexandria via LeMat-Bulk. Energies are from PBE.

Cell: 3.522 3.522 8.071 Å, 77.40 77.40 90.00°
Atoms (fractional coordinates):
P 0.000 0.000 0.000
P 0.750 0.250 0.500
Si 0.500 0.500 0.000
Si 0.250 0.750 0.500
F 0.132 0.125 0.250
F 0.618 0.625 0.250
F 0.375 0.868 0.750
F 0.875 0.382 0.750

Summary:
N(E_F), states/eV/f.u.: 0.7
Formation energy from raw total energies, kJ/mol of formula units: -318
Symmetry: No. 122
Total magnetization, Bohr magnetons per cell: 0.000
Total energy, eV per atom: -4.468
Polymorph energy (0 for the lowest one), eV per formula unit: 1.393


Here is a relaxed SiP3F crystal from Alexandria via LeMat-Bulk. Energies are from PBE.

Cell: 4.460 4.460 4.460 Å, 90.00 90.00 90.00°
Atoms (fractional coordinates):
P 0.000 0.500 0.000
P 0.000 0.000 0.500
P 0.500 0.000 0.000
Si 0.000 0.000 0.000
F 0.500 0.500 0.500

Summary:
N(E_F), states/eV/f.u.: 1.2
Formation energy from raw total energies, kJ/mol of formula units: 283
Symmetry: No. 221
Total magnetization, Bohr magnetons per cell: 0.000
Total energy, eV per atom: -4.118
Polymorph energy (0 for the lowest one), eV per formula unit: 0.000


Here is a relaxed SiP2F crystal from Alexandria via LeMat-Bulk. Energies are from PBE.

Cell: 5.442 5.442 6.524 Å, 65.35 65.35 90.00°
Atoms (fractional coordinates):
P 0.647 0.125 0.250
P 0.103 0.625 0.250
P 0.375 0.353 0.750
P 0.875 0.897 0.750
Si 0.000 0.000 0.000
Si 0.750 0.250 0.500
F 0.500 0.500 0.000
F 0.250 0.750 0.500

Summary:
N(E_F), states/eV/f.u.: 2.6
Formation energy from raw total energies, kJ/mol of formula units: 31
Symmetry: No. 122
Total magnetization, Bohr magnetons per cell: 0.000
Total energy, eV per atom: -4.449
Polymorph energy (0 for the lowest one), eV per formula unit: 0.534


Here is a relaxed SiPF2 crystal from Alexandria via LeMat-Bulk. Energies are from PBE.

Cell: 4.217 4.217 4.217 Å, 60.00 60.00 60.00°
Atoms (fractional coordinates):
P 0.500 0.500 0.500
Si 0.000 0.000 0.000
F 0.250 0.250 0.250
F 0.750 0.750 0.750

Summary:
N(E_F), states/eV/f.u.: 4.2
Formation energy from raw total energies, kJ/mol of formula units: -34
Symmetry: No. 225
Total magnetization, Bohr magnetons per cell: 0.001
Total energy, eV per atom: -3.732
Polymorph energy (0 for the lowest one), eV per formula unit: 4.338


Here is a relaxed SrSi2PF crystal from Alexandria via LeMat-Bulk. Energies are from PBE.

Cell: 4.385 6.154 4.385 Å, 90.00 90.00 90.00°
Atoms (fractional coordinates):
Sr 0.000 0.500 0.000
Si 0.000 0.000 0.500
Si 0.500 0.000 0.000
F 0.500 0.500 0.500
P 0.000 0.000 0.000

Summary:
N(E_F), states/eV/f.u.: 2.8
Formation energy from raw total energies, kJ/mol of formula units: -178
Symmetry: No. 123
Total magnetization, Bohr magnetons per cell: 0.000
Total energy, eV per atom: -4.331


Here is a relaxed SiTcP2F crystal from Alexandria via LeMat-Bulk. Energies are from PBE.

Cell: 4.636 4.025 4.636 Å, 90.00 90.00 90.00°
Atoms (fractional coordinates):
P 0.000 0.000 0.500
P 0.500 0.000 0.000
Si 0.500 0.500 0.500
Tc 0.000 0.000 0.000
F 0.000 0.500 0.000

Summary:
N(E_F), states/eV/f.u.: 4.0
Formation energy from raw total energies, kJ/mol of formula units: 50
Symmetry: No. 123
Total magnetization, Bohr magnetons per cell: 0.000
Total energy, eV per atom: -5.592


Here is a relaxed ZnSiPF2 crystal from Alexandria via LeMat-Bulk. Energies are from PBE.

Cell: 3.755 5.872 3.755 Å, 90.00 90.00 90.00°
Atoms (fractional coordinates):
P 0.000 0.500 0.000
Zn 0.000 0.000 0.000
Si 0.500 0.500 0.500
F 0.000 0.000 0.500
F 0.500 0.000 0.000

Summary:
N(E_F), states/eV/f.u.: 1.4
Formation energy from raw total energies, kJ/mol of formula units: -405
Symmetry: No. 123
Total magnetization, Bohr magnetons per cell: 0.000
Total energy, eV per atom: -4.008


Here is a relaxed Sm6P5F crystal from Alexandria via LeMat-Bulk. Energies are from PBE.

Cell: 7.030 7.039 7.029 Å, 59.95 80.34 70.42°
Atoms (fractional coordinates):
P 0.500 0.167 0.667
P 0.000 0.333 0.334
P 0.500 0.500 0.000
P 0.000 0.667 0.666
P 0.500 0.833 0.333
Sm 0.748 0.084 0.340
Sm 0.252 0.576 0.340
Sm 0.256 0.256 0.000
Sm 0.744 0.744 0.000
Sm 0.748 0.424 0.660
Sm 0.252 0.916 0.660
F 0.000 0.000 0.000

Summary:
N(E_F), states/eV/f.u.: 2.7
Formation energy from raw total energies, kJ/mol of formula units: -2036
Symmetry: No. 12
Total magnetization, Bohr magnetons per cell: 0.000
Total energy, eV per atom: -6.528


Here is a relaxed SmPF crystal from Alexandria via LeMat-Bulk. Energies are from PBE.

Cell: 4.216 3.988 3.988 Å, 120.00 90.00 90.00°
Atoms (fractional coordinates):
P 0.667 0.667 0.333
Sm 0.167 0.000 0.000
F 0.167 0.333 0.667

Summary:
N(E_F), states/eV/f.u.: 2.3
Formation energy from raw total energies, kJ/mol of formula units: -592
Symmetry: No. 187
Total magnetization, Bohr magnetons per cell: 0.000
Total energy, eV per atom: -6.044
Polymorph energy (0 for the lowest one), eV per formula unit: 0.000


Here is a relaxed SmPF crystal from Alexandria via LeMat-Bulk. Energies are from PBE.

Cell: 3.313 3.313 5.543 Å, 107.39 107.39 90.00°
Atoms (fractional coordinates):
P 0.007 0.007 0.014
Sm 0.704 0.704 0.409
F 0.289 0.289 0.577

Summary:
N(E_F), states/eV/f.u.: 1.5
Formation energy from raw total energies, kJ/mol of formula units: -511
Symmetry: No. 107
Total magnetization, Bohr magnetons per cell: 0.000
Total energy, eV per atom: -5.766
Polymorph energy (0 for the lowest one), eV per formula unit: 0.834


Here is a relaxed SnPF crystal from Alexandria via LeMat-Bulk. Energies are from PBE.

Cell: 5.057 2.850 8.323 Å, 99.86 107.69 90.00°
Atoms (fractional coordinates):
F 0.706 0.206 0.413
F 0.294 0.794 0.587
P 0.709 0.500 0.000
P 0.291 0.500 0.000
Sn 0.154 0.654 0.308
Sn 0.846 0.346 0.692

Summary:
N(E_F), states/eV/f.u.: 1.4
Formation energy from raw total energies, kJ/mol of formula units: -233
Symmetry: No. 71
Total magnetization, Bohr magnetons per cell: 0.000
Total energy, eV per atom: -4.565


Here is a relaxed SnP2F crystal from Alexandria via LeMat-Bulk. Energies are from PBE.

Cell: 4.518 4.518 4.518 Å, 60.00 60.00 60.00°
Atoms (fractional coordinates):
P 0.250 0.250 0.250
P 0.750 0.750 0.750
Sn 0.500 0.500 0.500
F 0.000 0.000 0.000

Summary:
N(E_F), states/eV/f.u.: 1.8
Formation energy from raw total energies, kJ/mol of formula units: -5
Symmetry: No. 225
Total magnetization, Bohr magnetons per cell: 0.000
Total energy, eV per atom: -4.186
Polymorph energy (0 for the lowest one), eV per formula unit: 1.907


Here is a relaxed SnPF2 crystal from Alexandria via LeMat-Bulk. Energies are from PBE.

Cell: 8.288 8.288 8.288 Å, 21.39 21.39 21.39°
Atoms (fractional coordinates):
P 0.000 0.000 0.000
Sn 0.500 0.500 0.500
F 0.923 0.923 0.923
F 0.077 0.077 0.077

Summary:
N(E_F), states/eV/f.u.: 1.1
Formation energy from raw total energies, kJ/mol of formula units: -407
Symmetry: No. 166
Total magnetization, Bohr magnetons per cell: 0.000
Total energy, eV per atom: -4.344
Polymorph energy (0 for the lowest one), eV per formula unit: 0.000


Here is a relaxed SnP3F crystal from Alexandria via LeMat-Bulk. Energies are from PBE.

Cell: 5.050 5.050 5.050 Å, 90.00 90.00 90.00°
Atoms (fractional coordinates):
P 0.000 0.500 0.000
P 0.000 0.000 0.500
P 0.500 0.000 0.000
Sn 0.000 0.000 0.000
F 0.500 0.500 0.500

Summary:
N(E_F), states/eV/f.u.: 3.0
Formation energy from raw total energies, kJ/mol of formula units: 538
Symmetry: No. 221
Total magnetization, Bohr magnetons per cell: 0.000
Total energy, eV per atom: -3.306
Polymorph energy (0 for the lowest one), eV per formula unit: 2.688


Here is a relaxed SnPF2 crystal from Alexandria via LeMat-Bulk. Energies are from PBE.

Cell: 4.476 4.476 4.476 Å, 60.00 60.00 60.00°
Last column: magnetic moment on the atom in μB.
Atoms (fractional coordinates):
P 0.000 0.000 0.000  0.82
Sn 0.500 0.500 0.500  0.11
F 0.250 0.250 0.250  0.19
F 0.750 0.750 0.750  0.19

Summary:
N(E_F), states/eV/f.u.: 2.5
Formation energy from raw total energies, kJ/mol of formula units: -225
Symmetry: No. 225
Total magnetization, Bohr magnetons per cell: 2.296
Total energy, eV per atom: -3.873
Polymorph energy (0 for the lowest one), eV per formula unit: 1.886


Here is a relaxed Sn3PF crystal from Alexandria via LeMat-Bulk. Energies are from PBE.

Cell: 4.959 4.959 4.959 Å, 90.00 90.00 90.00°
Atoms (fractional coordinates):
P 0.500 0.500 0.500
Sn 0.000 0.500 0.000
Sn 0.000 0.000 0.500
Sn 0.500 0.000 0.000
F 0.000 0.000 0.000

Summary:
N(E_F), states/eV/f.u.: 2.2
Formation energy from raw total energies, kJ/mol of formula units: -27
Symmetry: No. 221
Total magnetization, Bohr magnetons per cell: 0.000
Total energy, eV per atom: -3.915
Polymorph energy (0 for the lowest one), eV per formula unit: 0.000


Here is a relaxed SnP2F crystal from Alexandria via LeMat-Bulk. Energies are from PBE.

Cell: 3.572 3.572 11.716 Å, 81.23 81.23 90.00°
Atoms (fractional coordinates):
P 0.569 0.125 0.250
P 0.181 0.625 0.250
P 0.375 0.431 0.750
P 0.875 0.819 0.750
Sn 0.000 0.000 0.000
Sn 0.750 0.250 0.500
F 0.500 0.500 0.000
F 0.250 0.750 0.500

Summary:
N(E_F), states/eV/f.u.: 2.7
Formation energy from raw total energies, kJ/mol of formula units: -189
Symmetry: No. 122
Total magnetization, Bohr magnetons per cell: 0.000
Total energy, eV per atom: -4.662
Polymorph energy (0 for the lowest one), eV per formula unit: 0.000


Here is a relaxed SnP3F crystal from Alexandria via LeMat-Bulk. Energies are from PBE.

Cell: 4.495 4.495 4.495 Å, 90.00 90.00 90.00°
Atoms (fractional coordinates):
P 0.000 0.500 0.000
P 0.000 0.000 0.500
P 0.500 0.000 0.000
Sn 0.500 0.500 0.500
F 0.000 0.000 0.000

Summary:
N(E_F), states/eV/f.u.: 3.4
Formation energy from raw total energies, kJ/mol of formula units: 279
Symmetry: No. 221
Total magnetization, Bohr magnetons per cell: 0.000
Total energy, eV per atom: -3.843
Polymorph energy (0 for the lowest one), eV per formula unit: 0.000